The following is a PBE calculation of a relaxed Nd3Mg2Sn4 crystal, from the Alexandria database.

Lattice parameters (Å, degrees): 6.622 6.622 9.408 111.41 111.41 40.99
Atoms (fractional coordinates):
Nd: 0.000 0.000 0.000
Nd: 0.375 0.375 0.309
Nd: 0.625 0.625 0.691
Mg: 0.312 0.312 0.643
Mg: 0.688 0.688 0.357
Sn: 0.074 0.074 0.392
Sn: 0.294 0.294 0.935
Sn: 0.706 0.706 0.065
Sn: 0.926 0.926 0.608

Properties
D(E_F) ... 5.02 states/eV/cell
Volume ... 249.2 Å³/cell
Formation energy ... -0.58 eV per atom
Energy above the most stable polymorph in this dataset ... 0.0 meV/atom